5
Lattice="5.276 0.000 0.000 0.000 5.387 0.000 0.000 0.000 5.276" Properties=species:S:1:pos:R:3 comment="HPtPbBr2, optimized geometry, DFT PBE" dft_energy_ev_per_atom=-2.890 space_group="No. 123" vol_a3_per_fu=150 pbc="T T T"
Pb 0.000 2.694 0.000
Br 2.638 0.000 0.000
Br 0.000 0.000 2.638
H 2.638 2.694 2.638
Pt 0.000 0.000 0.000